# 1
Material: BaNbZn2O6
Method: DFT, PBE-GGA
State: relaxed

Output
For the total magnetization, the calculation gives 1.00 μB/f.u. The formation energy (no corrections) comes out at -1.9160 eV/atom.

abc: 7.6019 7.6019 6.8499
angles: 108.27 108.27 102.63
With the nearest neighbours (Å) after each atom.
Element x y z (fractional)
Ba: 0.1184 0.8816 0.7500  6 O 2.74-2.80
Ba: 0.8816 0.1184 0.2500  6 O 2.74-2.80
Nb: 0.1902 0.8098 0.2500  4 O 1.88-1.89
Nb: 0.8098 0.1902 0.7500  4 O 1.88-1.89
Zn: 0.3064 0.4526 0.8468  5 O 2.03-2.07
Zn: 0.4526 0.3064 0.3468  5 O 2.03-2.07
Zn: 0.5474 0.6936 0.6532  5 O 2.03-2.07
Zn: 0.6936 0.5474 0.1532  5 O 2.03-2.07
O: 0.0445 0.2145 0.7043  1 Nb 1.89, 1 Zn 2.07
O: 0.1675 0.6365 0.9718  1 Nb 1.88, 1 Zn 2.06
O: 0.2145 0.0445 0.2043  1 Nb 1.89, 1 Zn 2.07
O: 0.3239 0.4314 0.5515  3 Zn 2.03-2.06
O: 0.3635 0.8325 0.5282  1 Nb 1.88, 1 Zn 2.06
O: 0.4314 0.3239 0.0515  3 Zn 2.03-2.06
O: 0.5686 0.6761 0.9485  3 Zn 2.03-2.06
O: 0.6365 0.1675 0.4718  1 Nb 1.88, 1 Zn 2.06
O: 0.6761 0.5686 0.4485  3 Zn 2.03-2.06
O: 0.7855 0.9555 0.7957  1 Nb 1.89, 1 Zn 2.07
O: 0.8325 0.3635 0.0282  1 Nb 1.88, 1 Zn 2.06
O: 0.9555 0.7855 0.2957  1 Nb 1.89, 1 Zn 2.07

# 2
Material: MgTaHg2
Method: DFT, PBE-GGA
State: relaxed

Output
For the formation energy, the calculation gives 0.237 eV/atom. For the total magnetization, the calculation gives 0.00 μB/f.u.

abc: 4.9992 4.9992 3.1758
angles: 90.00 90.00 90.00
With the nearest neighbours (Å) after each atom.
Element x y z (fractional)
Mg: 0.0000 0.0000 0.0000  8 Hg 2.96, 2 Mg 3.18
Ta: 0.5000 0.5000 0.0000  8 Hg 2.96, 2 Ta 3.18
Hg: 0.0000 0.5000 0.5000  4 Ta 2.96, 4 Mg 2.96, 2 Hg 3.18
Hg: 0.5000 0.0000 0.5000  4 Ta 2.96, 4 Mg 2.96, 2 Hg 3.18

# 3
Material: UNiAu
Method: DFT, PBE-GGA
State: relaxed

Output
For the formation energy, the calculation gives -0.080 eV/atom. For the total magnetization, the calculation gives 2.07 μB/f.u.

abc: 5.8734 5.8734 5.8734
angles: 148.97 148.97 44.45
With the nearest neighbours (Å) after each atom.
Element x y z (fractional)
U: 0.0000 0.0000 0.0000  4 Ni 2.75
Ni: 0.6494 0.6494 0.0000  4 Au 2.74, 4 U 2.75
Au: 0.2968 0.2968 0.0000  4 Ni 2.74

# 4
Material: MgAlIn2
Method: DFT, PBE-GGA
State: relaxed

Output
For the formation energy, the calculation gives 0.050 eV/atom. For the total magnetization, the calculation gives 0.00 μB/f.u.

abc: 5.4859 5.4859 3.1531
angles: 90.71 90.71 107.28
With the nearest neighbours (Å) after each atom.
Element x y z (fractional)
Mg: 0.0000 0.0000 0.0000  8 In 3.15-3.18, 2 Mg 3.15, 2 Al 3.25
Al: 0.5000 0.5000 0.0000  8 In 3.15-3.18, 2 Al 3.15, 2 Mg 3.25
In: 0.0000 0.5000 0.5000  4 Al 3.15-3.18, 4 Mg 3.15-3.18, 4 In 3.15-3.25
In: 0.5000 0.0000 0.5000  4 Al 3.15-3.18, 4 Mg 3.15-3.18, 4 In 3.15-3.25